No. 1
Below is a relaxed CsTi2Tc2 crystal, with properties calculated at the PBE-GGA level.

a = 8.339 Å, b = 8.339 Å, c = 3.072 Å
α = 90.00°, β = 90.00°, γ = 90.00°
Positions (direct):
1 Ti 0.623 0.123 0.000
2 Tc 0.625 0.875 0.500
3 Cs 0.500 0.500 0.000
4 Ti 0.123 0.377 0.000
5 Ti 0.377 0.877 0.000
6 Tc 0.875 0.375 0.500
7 Ti 0.877 0.623 0.000
8 Cs 0.000 0.000 0.000
9 Tc 0.125 0.625 0.500
10 Tc 0.375 0.125 0.500

Computed properties:
E_form = 291 kJ/mol of formula units
raw total energy = -6.872 eV/atom
energy relative to the lowest polymorph listed for this composition = 0.0 kJ/mol of formula units
total magnetization = 0.00 μB per cell

***

No. 2
Below is a relaxed RbTi2ReF crystal, with properties calculated at the PBE-GGA level.

a = 5.058 Å, b = 4.279 Å, c = 5.058 Å
α = 90.00°, β = 90.00°, γ = 90.00°
Each line ends with the local moment (μB).
Positions (direct):
1 Re 0.500 0.500 0.500  -2.03
2 Rb 0.000 0.000 0.000  0.12
3 F 0.000 0.500 0.000  0.04
4 Ti 0.000 0.000 0.500  1.63
5 Ti 0.500 0.000 0.000  1.17

Computed properties:
raw total energy = -4.493 eV/atom
energy relative to the lowest polymorph listed for this composition = 0.0 kJ/mol of formula units
formation energy from raw total energies = 8.61 eV per formula unit
total magnetization = 1.29 μB per cell

***

No. 3
Below is a relaxed AsPbBr6 crystal, with properties calculated at the PBE-GGA level.

a = 6.896 Å, b = 6.892 Å, c = 7.552 Å
α = 62.81°, β = 62.75°, γ = 59.94°
Positions (direct):
1 Br 0.781 0.051 0.767
2 As 0.000 0.000 0.000
3 Br 0.219 0.949 0.233
4 Br 0.598 0.219 0.233
5 Br 0.050 0.402 0.767
6 Pb 0.500 0.500 0.500
7 Br 0.950 0.598 0.233
8 Br 0.402 0.781 0.767

Computed properties:
raw total energy = -2.727 eV/atom
formation energy from raw total energies = -3.42 eV per formula unit
total magnetization = 0.00 μB per cell

***

No. 4
Below is a relaxed BeP2Os crystal, with properties calculated at the PBE-GGA level.

a = 4.731 Å, b = 4.972 Å, c = 4.885 Å
α = 133.28°, β = 132.24°, γ = 79.45°
Positions (direct):
1 P 0.102 0.748 0.363
2 Os 0.754 0.190 0.380
3 P 0.100 0.978 0.090
4 Be 0.544 0.584 0.168

Computed properties:
E_form = 24 kJ/mol of formula units
raw total energy = -6.381 eV/atom
total magnetization = 0.00 μB per cell

***

No. 5
Below is a relaxed Tl2NiRu crystal, with properties calculated at the PBE-GGA level.

a = 4.640 Å, b = 4.640 Å, c = 4.640 Å
α = 60.00°, β = 60.00°, γ = 60.00°
Positions (direct):
1 Ni 0.000 0.000 0.000
2 Tl 0.250 0.250 0.250
3 Ru 0.500 0.500 0.500
4 Tl 0.750 0.750 0.750

Computed properties:
E_form = 194 kJ/mol of formula units
raw total energy = -4.444 eV/atom
energy relative to the lowest polymorph listed for this composition = 29.8 kJ/mol of formula units
total magnetization = 0.00 μB per cell

***

No. 6
Below is a relaxed NdScZnGa crystal, with properties calculated at the PBE-GGA level.

a = 5.000 Å, b = 5.000 Å, c = 5.000 Å
α = 60.00°, β = 60.00°, γ = 60.00°
Positions (direct):
1 Zn 0.750 0.750 0.750
2 Sc 0.500 0.500 0.500
3 Nd 0.000 0.000 0.000
4 Ga 0.250 0.250 0.250

Computed properties:
E_form = -172 kJ/mol of formula units
raw total energy = -4.295 eV/atom
total magnetization = 0.00 μB per cell